1.
Computed, not measured: crystalline MnTl3C at its relaxed geometry at the PBE level of DFT.

The space group is Pm-3m (No. 221) and the conventional cell measures 4.9936, 4.9936 and 4.9936 Å, with angles of 90.00, 90.00 and 90.00 degrees. The asymmetric unit holds Mn at (0.0000, 0.0000, 0.0000), Tl at (0.0000, 0.5000, 0.5000) and C at (0.5000, 0.5000, 0.5000).

For the calculated volume, the calculation gives 24.90 Å³ per atom. The value obtained for the density of states at the Fermi level is 0.752 states/eV/atom. The relative energy among the computed polymorphs comes out at 0 meV per atom. The calculation puts the total energy at -3.81 eV/atom.

2.
Computed, not measured: crystalline MnTlWC2 at its relaxed geometry at the PBE level of DFT.

The space group is P4/mmm (No. 123) and the conventional cell measures 4.1092, 4.1092 and 5.4889 Å, with angles of 90.00, 90.00 and 90.00 degrees. The asymmetric unit holds Mn at (0.0000, 0.0000, 0.0000), Tl at (0.5000, 0.5000, 0.5000), W at (0.5000, 0.5000, 0.0000) and C at (0.0000, 0.5000, 0.5000).

For the calculated volume, the calculation gives 18.54 Å³ per atom. The value obtained for the density of states at the Fermi level is 1.572 states/eV/atom. The calculation puts the total energy at -4.70 eV/atom.

3.
Computed, not measured: crystalline Y2MnTlC at its relaxed geometry at the PBE level of DFT.

The space group is P4/mmm (No. 123) and the conventional cell measures 5.0655, 5.0655 and 3.8203 Å, with angles of 90.00, 90.00 and 90.00 degrees. The asymmetric unit holds Y at (0.0000, 0.5000, 0.0000), Mn at (0.0000, 0.0000, 0.5000), Tl at (0.5000, 0.5000, 0.5000) and C at (0.0000, 0.0000, 0.0000).

For the calculated volume, the calculation gives 19.61 Å³ per atom. The value obtained for the density of states at the Fermi level is 0.695 states/eV/atom. The calculation puts the total energy at -7.01 eV/atom.

4.
Computed, not measured: crystalline Tm2MnC4 at its relaxed geometry at the PBE level of DFT.

The space group is Ibam (No. 72) and the conventional cell measures 7.5348, 9.3666 and 4.9839 Å, with angles of 90.00, 90.00 and 90.00 degrees. The asymmetric unit holds Tm at (0.1539, 0.1452, 0.0000), Mn at (0.0000, 0.5000, 0.2500), C at (0.1560, 0.1298, 0.5000) and C at (0.1723, 0.4204, 0.0000).

For the calculated volume, the calculation gives 12.56 Å³ per atom. The value obtained for the density of states at the Fermi level is 0.392 states/eV/atom. The calculation puts the total energy at -8.15 eV/atom.

5.
Computed, not measured: crystalline Tm2MnC2 at its relaxed geometry at the PBE level of DFT.

The space group is C2/m (No. 12) and the conventional cell measures 10.7931, 4.9581 and 6.5241 Å, with angles of 90.00, 120.45 and 90.00 degrees. The asymmetric unit holds Tm at (0.0373, 0.0000, 0.2815), Tm at (0.1805, 0.5000, 0.1175), Mn at (0.1307, 0.5000, 0.6317), C at (0.0138, 0.5000, 0.2896) and C at (0.1870, 0.0000, 0.1156).

For the calculated volume, the calculation gives 15.05 Å³ per atom. The value obtained for the density of states at the Fermi level is 0.400 states/eV/atom. The calculation puts the total energy at -7.67 eV/atom.

6.
Computed, not measured: crystalline TmMn22C6 at its relaxed geometry at the PBE level of DFT.

The space group is Fm-3m (No. 225) and the conventional cell measures 10.5006, 10.5006 and 10.5006 Å, with angles of 90.00, 90.00 and 90.00 degrees. The asymmetric unit holds Tm at (0.0000, 0.0000, 0.0000), Mn at (0.0000, 0.1763, 0.1763), Mn at (0.1170, 0.1170, 0.3830), Mn at (0.2500, 0.2500, 0.2500) and C at (0.0000, 0.0000, 0.2695).

For the calculated volume, the calculation gives 9.98 Å³ per atom. The value obtained for the density of states at the Fermi level is 1.048 states/eV/atom. The calculation puts the total energy at -9.02 eV/atom.

7.
Computed, not measured: crystalline Tm5Mn2C6 at its relaxed geometry at the PBE level of DFT.

The space group is Pbam (No. 55) and the conventional cell measures 9.5312, 11.3452 and 3.3481 Å, with angles of 90.00, 90.00 and 90.00 degrees. The asymmetric unit holds Tm at (0.0000, 0.0000, 0.0000), Tm at (0.0873, 0.2507, 0.0000), Tm at (0.1664, 0.5136, 0.0000), Mn at (0.1650, 0.7237, 0.5000), C at (0.0099, 0.6208, 0.5000), C at (0.1643, 0.8075, 0.0000) and C at (0.1732, 0.1051, 0.5000).

For the calculated volume, the calculation gives 13.92 Å³ per atom. The value obtained for the density of states at the Fermi level is 0.416 states/eV/atom. The calculation puts the total energy at -7.47 eV/atom.

8.
Computed, not measured: crystalline TmMn6C3 at its relaxed geometry at the PBE level of DFT.

The space group is R3 (No. 146, hexagonal axes) and the conventional cell measures 5.1684, 5.1684 and 13.7755 Å, with angles of 90.00, 90.00 and 120.00 degrees. The asymmetric unit holds Tm at (0.0000, 0.0000, 0.0000), Mn at (0.0041, 0.4124, 0.8679), Mn at (0.1498, 0.8129, 0.3914), C at (0.0000, 0.0000, 0.2941), C at (0.0000, 0.0000, 0.6227) and C at (0.0000, 0.0000, 0.8284).

For the calculated volume, the calculation gives 10.62 Å³ per atom. The value obtained for the density of states at the Fermi level is 0.881 states/eV/atom. The calculation puts the total energy at -8.59 eV/atom.

9.
Computed, not measured: crystalline TmMnC at its relaxed geometry at the PBE level of DFT.

The space group is P3m1 (No. 156) and the conventional cell measures 3.1964, 3.1964 and 4.9081 Å, with angles of 90.00, 90.00 and 120.00 degrees. The asymmetric unit holds Tm at (0.0000, 0.0000, 0.0000), Mn at (0.3333, 0.6667, 0.4770) and C at (0.6667, 0.3333, 0.3230).

For the calculated volume, the calculation gives 14.48 Å³ per atom. The value obtained for the density of states at the Fermi level is 0.757 states/eV/atom. The relative energy among the computed polymorphs comes out at 135 meV per atom. The calculation puts the total energy at -7.66 eV/atom.

10.
Computed, not measured: crystalline Tm10Mn13C18 at its relaxed geometry at the PBE level of DFT.

The space group is I-43m (No. 217) and the conventional cell measures 9.9798, 9.9798 and 9.9798 Å, with angles of 90.00, 90.00 and 90.00 degrees. The asymmetric unit holds Tm at (0.0000, 0.2500, 0.5000), Tm at (0.2057, 0.2057, 0.7943), Mn at (0.0000, 0.0000, 0.0000), Mn at (0.0769, 0.0769, 0.2571), C at (0.0000, 0.0000, 0.4309) and C at (0.0367, 0.2591, 0.2591).

For the calculated volume, the calculation gives 12.12 Å³ per atom. The value obtained for the density of states at the Fermi level is 0.335 states/eV/atom. The calculation puts the total energy at -8.39 eV/atom.

11.
Computed, not measured: crystalline TmMn2C2 at its relaxed geometry at the PBE level of DFT.

The space group is Fddd (No. 70, origin choice 2) and the conventional cell measures 6.2184, 8.2811 and 8.8165 Å, with angles of 90.00, 90.00 and 90.00 degrees. The asymmetric unit holds Tm at (0.1250, 0.1250, 0.1250), Mn at (0.1250, 0.1250, 0.4885) and C at (0.1250, 0.3193, 0.6250).

For the calculated volume, the calculation gives 11.35 Å³ per atom. The value obtained for the density of states at the Fermi level is 0.815 states/eV/atom. The calculation puts the total energy at -8.55 eV/atom.

12.
Computed, not measured: crystalline TmMnC2 at its relaxed geometry at the PBE level of DFT.

The space group is R-3m (No. 166, hexagonal axes) and the conventional cell measures 3.2090, 3.2090 and 15.3469 Å, with angles of 90.00, 90.00 and 120.00 degrees. The asymmetric unit holds Tm at (0.0000, 0.0000, 0.0000), Mn at (0.0000, 0.0000, 0.5000) and C at (0.0000, 0.0000, 0.2332).

For the calculated volume, the calculation gives 11.41 Å³ per atom. The value obtained for the density of states at the Fermi level is 0.446 states/eV/atom. The calculation puts the total energy at -7.95 eV/atom.

13.
Computed, not measured: crystalline TmMn12C6 at its relaxed geometry at the PBE level of DFT.

The space group is R-3m (No. 166, hexagonal axes) and the conventional cell measures 9.2646, 9.2646 and 7.5349 Å, with angles of 90.00, 90.00 and 120.00 degrees. The asymmetric unit holds Tm at (0.0000, 0.0000, 0.0000), Mn at (0.0000, 0.3669, 0.5000), Mn at (0.0902, 0.1803, 0.3692) and C at (0.0369, 0.5185, 0.2901).

For the calculated volume, the calculation gives 9.83 Å³ per atom. The value obtained for the density of states at the Fermi level is 1.035 states/eV/atom. The calculation puts the total energy at -9.00 eV/atom.

14.
Computed, not measured: crystalline TmMn2C3 at its relaxed geometry at the PBE level of DFT.

The space group is Cmcm (No. 63) and the conventional cell measures 6.6171, 8.7919 and 4.8330 Å, with angles of 90.00, 90.00 and 90.00 degrees. The asymmetric unit holds Tm at (0.0000, 0.2022, 0.2500), Mn at (0.1895, 0.5000, 0.0000), C at (0.0000, 0.4118, 0.7500) and C at (0.1064, 0.0768, 0.7500).

For the calculated volume, the calculation gives 11.72 Å³ per atom. The value obtained for the density of states at the Fermi level is 0.640 states/eV/atom. The calculation puts the total energy at -8.42 eV/atom.

15.
Computed, not measured: crystalline TmMnC at its relaxed geometry at the PBE level of DFT.

The space group is C2/m (No. 12) and the conventional cell measures 9.3865, 3.1506 and 6.2259 Å, with angles of 90.00, 121.90 and 90.00 degrees. The asymmetric unit holds Tm at (0.0724, 0.0000, 0.3405), Mn at (0.1901, 0.5000, 0.0773) and C at (0.1840, 0.5000, 0.7346).

For the calculated volume, the calculation gives 13.03 Å³ per atom. The value obtained for the density of states at the Fermi level is 0.651 states/eV/atom. The relative energy among the computed polymorphs comes out at 0 meV per atom. The calculation puts the total energy at -7.80 eV/atom.

16.
Computed, not measured: crystalline TmU2MnC4 at its relaxed geometry at the PBE level of DFT.

The space group is Cmcm (No. 63) and the conventional cell measures 3.4867, 11.0552 and 11.5957 Å, with angles of 90.00, 90.00 and 90.00 degrees. The asymmetric unit holds Tm at (0.0000, 0.1107, 0.2500), U at (0.0000, 0.3684, 0.0490), Mn at (0.0000, 0.1545, 0.7500), C at (0.0000, 0.0000, 0.0000), C at (0.0000, 0.2627, 0.6272) and C at (0.0000, 0.4285, 0.2500).

For the calculated volume, the calculation gives 13.97 Å³ per atom. The value obtained for the density of states at the Fermi level is 1.054 states/eV/atom. The calculation puts the total energy at -9.22 eV/atom.

17.
Computed, not measured: crystalline UMn3C2 at its relaxed geometry at the PBE level of DFT.

The space group is C2/m (No. 12) and the conventional cell measures 11.3989, 3.3654 and 7.4368 Å, with angles of 90.00, 113.37 and 90.00 degrees. The asymmetric unit holds U at (0.1201, 0.0000, 0.0320), Mn at (0.0592, 0.0000, 0.3947), Mn at (0.1117, 0.5000, 0.6697), Mn at (0.2185, 0.5000, 0.3889), C at (0.0279, 0.5000, 0.2319) and C at (0.2071, 0.0000, 0.7954).

For the calculated volume, the calculation gives 10.91 Å³ per atom. The value obtained for the density of states at the Fermi level is 1.114 states/eV/atom. The calculation puts the total energy at -9.63 eV/atom.

18.
Computed, not measured: crystalline UMn3C at its relaxed geometry at the PBE level of DFT.

The space group is Pm-3m (No. 221) and the conventional cell measures 3.9030, 3.9030 and 3.9030 Å, with angles of 90.00, 90.00 and 90.00 degrees. The asymmetric unit holds U at (0.0000, 0.0000, 0.0000), Mn at (0.0000, 0.5000, 0.5000) and C at (0.5000, 0.5000, 0.5000).

For the calculated volume, the calculation gives 11.89 Å³ per atom. The value obtained for the density of states at the Fermi level is 0.527 states/eV/atom. The calculation puts the total energy at -9.75 eV/atom.

19.
Computed, not measured: crystalline UMnC at its relaxed geometry at the PBE level of DFT.

The space group is Cccm (No. 66) and the conventional cell measures 4.9736, 5.4711 and 6.5119 Å, with angles of 90.00, 90.00 and 90.00 degrees. The asymmetric unit holds U at (0.0000, 0.0000, 0.2500), Mn at (0.0000, 0.5000, 0.0000) and C at (0.2500, 0.2500, 0.0000).

For the calculated volume, the calculation gives 14.77 Å³ per atom. The value obtained for the density of states at the Fermi level is 1.578 states/eV/atom. The relative energy among the computed polymorphs comes out at 158 meV per atom. The calculation puts the total energy at -9.84 eV/atom.

20.
Computed, not measured: crystalline UMn2C at its relaxed geometry at the PBE level of DFT.

The space group is R-3m (No. 166, hexagonal axes) and the conventional cell measures 2.9380, 2.9380 and 20.6445 Å, with angles of 90.00, 90.00 and 120.00 degrees. The asymmetric unit holds U at (0.0000, 0.0000, 0.0000), Mn at (0.0000, 0.0000, 0.1172) and C at (0.0000, 0.0000, 0.5000).

For the calculated volume, the calculation gives 12.86 Å³ per atom. The value obtained for the density of states at the Fermi level is 1.254 states/eV/atom. The relative energy among the computed polymorphs comes out at 160 meV per atom. The calculation puts the total energy at -9.45 eV/atom.

Number 1: energy of formation from the pure elements 1288 meV/atom. Number 2: energy of formation from the pure elements 3886 meV/atom. Number 3: energy of formation from the pure elements -274 meV/atom. Number 4: energy of formation from the pure elements -287 meV/atom. Number 5: energy of formation from the pure elements -357 meV/atom. Number 6: energy of formation from the pure elements -3 meV/atom. Number 7: energy of formation from the pure elements -79 meV/atom. Number 8: energy of formation from the pure elements 129 meV/atom. Number 9: energy of formation from the pure elements -41 meV/atom. Number 10: energy of formation from the pure elements -342 meV/atom. Number 11: energy of formation from the pure elements -300 meV/atom. Number 12: energy of formation from the pure elements 76 meV/atom. Number 13: energy of formation from the pure elements -62 meV/atom. Number 14: energy of formation from the pure elements -4 meV/atom. Number 15: energy of formation from the pure elements -176 meV/atom. Number 16: energy of formation from the pure elements -84 meV/atom. Number 17: energy of formation from the pure elements -94 meV/atom. Number 18: energy of formation from the pure elements -146 meV/atom. Number 19: energy of formation from the pure elements 49 meV/atom. Number 20: energy of formation from the pure elements 265 meV/atom.